Compound: ScAs3
Source: Alexandria via LeMat-Bulk
Functional: PBE
Structure: optimized geometry

a = 5.742 Å, b = 5.742 Å, c = 5.742 Å
α = 140.04°, β = 140.04°, γ = 57.79°
Element x y z (fractional)
As1 0.750 0.250 0.500
As2 0.250 0.750 0.500
As3 0.500 0.500 0.000
Sc1 0.000 0.000 0.000

Results
ΔE_f, meV per atom: -390
Volume, A^3/atom: 19.3
Final energy, eV per atom: -5.460